(1)
Below is crystalline ReRu3C at its relaxed geometry, with properties calculated at the GGA-PBE level.

POSCAR file:
```
ReRu3C
1.0
4.670 0.000 0.000
0.000 4.670 0.000
0.000 0.000 4.670
Re C Ru
1 1 3
Direct
0.000 0.000 0.000
0.500 0.500 0.500
0.000 0.500 0.000
0.000 0.000 0.500
0.500 0.000 0.000
```

Results
Theoretical density: 8175 kg/m3
Energy: -6.939 eV per atom
E above lowest polymorph: 2504 meV/atom
DOS at the Fermi energy: 8.3 states/eV/f.u.
Energy relative to the elements: 2.96 eV per atom

***

(2)
Below is crystalline ReRu2C at its relaxed geometry, with properties calculated at the GGA-PBE level.

POSCAR file:
```
ReRu2C
1.0
-2.654 -2.382 -3.603
-2.846 -2.217 3.562
-5.907 1.477 -0.192
Re C Ru
2 2 4
Direct
0.000 0.000 0.000
0.750 0.250 0.500
0.500 0.500 0.000
0.250 0.750 0.500
0.552 0.125 0.250
0.198 0.625 0.250
0.375 0.448 0.750
0.875 0.802 0.750
```

Results
Theoretical density: 10502 kg/m3
Energy: -9.272 eV per atom
DOS at the Fermi energy: 3.0 states/eV/f.u.
Energy relative to the elements: 0.78 eV per atom

***

(3)
Below is crystalline ReRuC2 at its relaxed geometry, with properties calculated at the GGA-PBE level.

POSCAR file:
```
ReRuC2
1.0
2.760 0.000 0.000
0.000 2.760 0.000
0.000 0.000 10.816
Re C Ru
2 4 2
Direct
0.000 0.000 0.055
0.500 0.500 0.555
0.000 0.000 0.336
0.500 0.500 0.836
0.000 0.000 0.469
0.500 0.500 0.969
0.000 0.000 0.754
0.500 0.500 0.254
```

Results
Theoretical density: 12546 kg/m3
Energy: -9.572 eV per atom
E above lowest polymorph: 186 meV/atom
DOS at the Fermi energy: 2.5 states/eV/f.u.
Energy relative to the elements: 0.47 eV per atom

***

(4)
Below is crystalline ReRu2C4 at its relaxed geometry, with properties calculated at the GGA-PBE level.

POSCAR file:
```
ReRu2C4
1.0
-2.580 -2.389 -2.065
1.958 -3.302 1.373
-3.446 -3.001 3.752
Re C Ru
1 4 2
Direct
0.000 0.000 0.000
0.794 0.794 0.413
0.206 0.206 0.587
0.000 0.500 0.000
0.500 0.000 0.000
0.623 0.623 0.754
0.377 0.377 0.246
```

Results
Theoretical density: 8444 kg/m3
Energy: -8.084 eV per atom
DOS at the Fermi energy: 3.9 states/eV/f.u.
Energy relative to the elements: 1.62 eV per atom

***

(5)
Below is crystalline ReRu3C at its relaxed geometry, with properties calculated at the GGA-PBE level.

POSCAR file:
```
ReRu3C
1.0
-1.865 1.695 3.135
0.251 -3.467 2.024
3.555 1.134 1.502
Re C Ru
1 1 3
Direct
0.500 0.500 0.500
0.000 0.000 0.000
0.000 0.500 0.000
0.000 0.000 0.500
0.500 0.000 0.000
```

Results
Theoretical density: 12791 kg/m3
Energy: -9.443 eV per atom
E above lowest polymorph: 0 meV/atom
DOS at the Fermi energy: 6.5 states/eV/f.u.
Energy relative to the elements: 0.46 eV per atom

***

(6)
Below is crystalline ReRuC2 at its relaxed geometry, with properties calculated at the GGA-PBE level.

POSCAR file:
```
ReRuC2
1.0
-1.400 1.762 -2.175
-0.033 -2.661 -2.135
-3.592 -1.661 2.127
Re C Ru
1 2 1
Direct
0.481 0.000 0.309
0.886 0.000 0.016
0.373 0.500 0.510
0.963 0.500 0.799
```

Results
Theoretical density: 10955 kg/m3
Energy: -9.489 eV per atom
E above lowest polymorph: 269 meV/atom
DOS at the Fermi energy: 1.9 states/eV/f.u.
Energy relative to the elements: 0.55 eV per atom

***

What did the fourth record say?
Below is crystalline ReRu2C4 at its relaxed geometry, with properties calculated at the GGA-PBE level.

POSCAR file:
```
ReRu2C4
1.0
-2.580 -2.389 -2.065
1.958 -3.302 1.373
-3.446 -3.001 3.752
Re C Ru
1 4 2
Direct
0.000 0.000 0.000
0.794 0.794 0.413
0.206 0.206 0.587
0.000 0.500 0.000
0.500 0.000 0.000
0.623 0.623 0.754
0.377 0.377 0.246
```

Results
Theoretical density: 8444 kg/m3
Energy: -8.084 eV per atom
DOS at the Fermi energy: 3.9 states/eV/f.u.
Energy relative to the elements: 1.62 eV per atom

***

> theoretical density of number 5 (ReRu3C)?

12791 kg/m3

***

> Which value of energy relative to the elements does entry 4 give?

1.62 eV per atom

***

> Look up the energy relative to the elements of the second one.

0.78 eV per atom